Computed, not measured: La2CuPtO after structural relaxation at the PBE-GGA level of DFT.

The structure belongs to space group P4/mmm (No. 123); the cell edges are 5.488, 5.488 and 4.641 Å and the angles 90.00°, 90.00° and 90.00°. The asymmetric unit holds La at (0.000, 0.500, 0.000), Cu at (0.000, 0.000, 0.500), Pt at (0.000, 0.000, 0.000) and O at (0.500, 0.500, 0.500).

The calculation puts the final energy at -5.37 eV/atom. The uncorrected formation energy is -378 meV per atom. Its density of states at the Fermi level is 2.66 states/eV per cell.